No. 1
YHfCu2Se (PBE, relaxed); SG = No. 123; volume = 118 Å³/f.u.; raw formation energy = 0.109 eV per atom
1.0
-0.5886 -3.1873 3.6374
4.0868 -2.4220 -1.4609
2.7094 2.8180 2.9077
Y Hf Cu Se
1 1 2 1
direct
0.5000 0.5000 0.5000
0.0000 0.0000 0.0000
0.0000 0.0000 0.5000
0.5000 0.0000 0.0000
0.0000 0.5000 0.0000

No. 2
CdAg2H2 (PBE, relaxed); SG = No. 139; total energy = -11.66 eV per cell; volume = 80 Å³/f.u.
1.0
3.9280 0.0000 0.0000
0.0000 3.9280 0.0000
1.9640 1.9640 5.1622
H Ag Cd
2 2 1
direct
0.3043 0.3043 0.3913
0.6957 0.6957 0.6087
0.7500 0.2500 0.5000
0.2500 0.7500 0.5000
0.0000 0.0000 0.0000